Computed, not measured: an optimized crystal structure of Tb3Pr2Sm at the PBE level of DFT.

```
Tb3Pr2Sm
1.0
5.200 -5.783 0.000
5.200 5.783 0.000
-0.054 0.000 6.761
Tb Pr Sm
6 4 2
Cartesian
1.720 0.008 0.000
1.694 -0.008 3.381
5.160 3.091 5.071
5.187 -3.091 1.690
8.653 0.008 3.380
8.626 -0.008 6.761
3.436 2.733 1.700
6.937 2.733 1.680
3.409 -2.733 5.080
6.910 -2.733 5.061
5.200 0.000 0.000
5.173 0.000 3.380
```

size of the total moment	0.000	μB/atom
DFT formation energy	0.180	eV per atom
density of states at the Fermi level	19.89	states/eV per cell
E	-4.52	eV/atom
distance to the lowest polymorph of the same formula	0.000	eV per formula unit

Computed, not measured: an optimized crystal structure of Tb4Pr11Sm9 at the PBE level of DFT.

```
Tb4Pr11Sm9
1.0
8.627 -13.121 0.000
8.627 13.121 0.000
0.000 0.000 3.710
Tb Pr Sm
4 11 9
Cartesian
2.727 2.669 0.000
2.727 -2.669 0.000
14.527 2.669 0.000
14.527 -2.669 0.000
4.784 4.743 1.855
8.627 9.685 1.855
3.604 0.000 1.855
8.627 4.243 1.855
4.784 -4.743 1.855
8.627 0.000 1.855
12.469 4.743 1.855
8.627 -4.243 1.855
13.649 0.000 1.855
8.627 -9.685 1.855
12.469 -4.743 1.855
0.000 0.000 0.000
6.858 7.032 0.000
6.227 1.932 0.000
10.395 7.032 0.000
6.227 -1.932 0.000
11.027 1.932 0.000
6.858 -7.032 0.000
11.027 -1.932 0.000
10.395 -7.032 0.000
```

size of the total moment	0.000	μB/atom
DFT formation energy	0.057	eV per atom
density of states at the Fermi level	31.99	states/eV per cell
E	-4.68	eV/atom